Compound: Nd2Ti2O7
Source: Alexandria via LeMat-Bulk
Functional: meta-GGA SCAN
Structure: single point on PBEsol structure

Results
ΔE_f (raw)	-3.6266	eV/atom
crystal system	monoclinic

```
data_Nd2Ti2O7
_space_group_name_H-M_alt 'P 1 21 1'
_space_group_IT_number 4
_cell_length_a 7.6401
_cell_length_b 5.4503
_cell_length_c 13.0373
_cell_angle_alpha 90.00
_cell_angle_beta 98.51
_cell_angle_gamma 90.00
loop_
_space_group_symop_operation_xyz
'x,y,z'
'-x,y+1/2,-z'
loop_
_atom_site_label
_atom_site_fract_x
_atom_site_fract_y
_atom_site_fract_z
Nd1 0.1449 0.0000 0.0707
Nd2 0.2294 0.4039 0.4110
Nd3 0.2818 0.8913 0.6221
Nd4 0.3510 0.4281 0.8823
Ti1 0.0312 0.4073 0.6190
Ti2 0.0728 0.9292 0.8200
Ti3 0.4148 0.4371 0.1742
Ti4 0.4717 0.9056 0.3785
O1 0.0220 0.0884 0.6823
O2 0.0442 0.6692 0.5191
O3 0.0780 0.1997 0.9064
O4 0.1191 0.6036 0.7283
O5 0.1310 0.7122 0.9294
O6 0.1743 0.3357 0.1958
O7 0.2227 0.9620 0.3906
O8 0.2727 0.3163 0.5916
O9 0.3271 0.0003 0.8060
O10 0.3728 0.7243 0.1121
O11 0.4096 0.2294 0.0575
O12 0.4325 0.5848 0.3192
O13 0.4661 0.6682 0.5206
O14 0.4953 0.5999 0.7310
```